First-principles (PBE) data for a relaxed Ce2PmEr3As6 crystal, as listed in Alexandria via LeMat-Bulk.

Symmetry   No. 12
Calculated formation energy   -1489 meV per atom

abc: 9.274 9.274 8.301
angles: 102.75 102.75 25.91
Fractional positions:
Ce  0.166  0.166  0.332
Ce  0.834  0.834  0.668
Pm  0.500  0.500  0.000
Er  0.166  0.166  0.834
Er  0.500  0.500  0.500
Er  0.834  0.834  0.166
As  0.001  0.001  0.744
As  0.331  0.331  0.920
As  0.335  0.335  0.413
As  0.665  0.665  0.587
As  0.669  0.669  0.080
As  0.999  0.999  0.256